An optimized crystal structure of LiFe2Os, computed with PBE.

Results
* E: -29.3 eV per cell
* spin magnetization: 1.292 μB per atom
* ΔH_f (0 K): 0.1893 eV/atom

Cell and atoms, written as CIF:
```
data_LiFe2Os
_chemical_formula_sum 'Li1 Fe2 Os1'
_cell_length_a 4.7713
_cell_length_b 4.7713
_cell_length_c 2.5102
_cell_angle_alpha 83.73
_cell_angle_beta 83.73
_cell_angle_gamma 115.84
_space_group_name_H-M_alt 'P 1'
_space_group_IT_number 1
loop_
_space_group_symop_operation_xyz
'x,y,z'
loop_
_atom_site_label
_atom_site_type_symbol
_atom_site_fract_x
_atom_site_fract_y
_atom_site_fract_z
Fe1 Fe 0.0000 0.0000 0.0000
Fe2 Fe 0.5000 0.5000 0.0000
Li1 Li 0.5000 0.0000 0.5000
Os1 Os 0.0000 0.5000 0.5000
```



An optimized crystal structure of LiFe2OsPb, computed with PBE.

Results
* E: -27.3 eV per cell
* spin magnetization: 1.036 μB per atom
* ΔH_f (0 K): 1.3014 eV/atom

Cell and atoms, written as CIF:
```
data_LiFe2OsPb
_chemical_formula_sum 'Li1 Fe2 Os1 Pb1'
_cell_length_a 4.0784
_cell_length_b 4.4260
_cell_length_c 4.0784
_cell_angle_alpha 90.00
_cell_angle_beta 90.00
_cell_angle_gamma 90.00
_space_group_name_H-M_alt 'P 1'
_space_group_IT_number 1
loop_
_space_group_symop_operation_xyz
'x,y,z'
loop_
_atom_site_label
_atom_site_type_symbol
_atom_site_fract_x
_atom_site_fract_y
_atom_site_fract_z
Pb1 Pb 0.0000 0.5000 0.0000
Os1 Os 0.5000 0.5000 0.5000
Fe1 Fe 0.0000 0.0000 0.5000
Fe2 Fe 0.5000 0.0000 0.0000
Li1 Li 0.0000 0.0000 0.0000
```



An optimized crystal structure of LiFeOs2Pt, computed with PBE.

Results
* E: -32.3 eV per cell
* spin magnetization: 0.000 μB per atom
* ΔH_f (0 K): 1.3125 eV/atom

Cell and atoms, written as CIF:
```
data_LiFeOs2Pt
_chemical_formula_sum 'Li1 Fe1 Os2 Pt1'
_cell_length_a 4.0669
_cell_length_b 4.0502
_cell_length_c 4.0669
_cell_angle_alpha 90.00
_cell_angle_beta 90.00
_cell_angle_gamma 90.00
_space_group_name_H-M_alt 'P 1'
_space_group_IT_number 1
loop_
_space_group_symop_operation_xyz
'x,y,z'
loop_
_atom_site_label
_atom_site_type_symbol
_atom_site_fract_x
_atom_site_fract_y
_atom_site_fract_z
Os1 Os 0.0000 0.0000 0.5000
Os2 Os 0.5000 0.0000 0.0000
Fe1 Fe 0.5000 0.5000 0.5000
Pt1 Pt 0.0000 0.5000 0.0000
Li1 Li 0.0000 0.0000 0.0000
```



An optimized crystal structure of LiPuFeOs, computed with PBE.

Results
* E: -35.2 eV per cell
* spin magnetization: 0.573 μB per atom
* ΔH_f (0 K): 0.1743 eV/atom

Cell and atoms, written as CIF:
```
data_LiPuFeOs
_chemical_formula_sum 'Li1 Pu1 Fe1 Os1'
_cell_length_a 4.4361
_cell_length_b 4.4361
_cell_length_c 4.4361
_cell_angle_alpha 60.00
_cell_angle_beta 60.00
_cell_angle_gamma 60.00
_space_group_name_H-M_alt 'P 1'
_space_group_IT_number 1
loop_
_space_group_symop_operation_xyz
'x,y,z'
loop_
_atom_site_label
_atom_site_type_symbol
_atom_site_fract_x
_atom_site_fract_y
_atom_site_fract_z
Li1 Li 0.7500 0.7500 0.7500
Os1 Os 0.0000 0.0000 0.0000
Fe1 Fe 0.5000 0.5000 0.5000
Pu1 Pu 0.2500 0.2500 0.2500
```



An optimized crystal structure of LiFe2ReOs, computed with PBE.

Results
* E: -35.2 eV per cell
* spin magnetization: 0.875 μB per atom
* ΔH_f (0 K): 1.4558 eV/atom

Cell and atoms, written as CIF:
```
data_LiFe2ReOs
_chemical_formula_sum 'Li1 Fe2 Re1 Os1'
_cell_length_a 4.5764
_cell_length_b 4.7204
_cell_length_c 4.5764
_cell_angle_alpha 90.00
_cell_angle_beta 90.00
_cell_angle_gamma 90.00
_space_group_name_H-M_alt 'P 1'
_space_group_IT_number 1
loop_
_space_group_symop_operation_xyz
'x,y,z'
loop_
_atom_site_label
_atom_site_type_symbol
_atom_site_fract_x
_atom_site_fract_y
_atom_site_fract_z
Re1 Re 0.0000 0.0000 0.0000
Os1 Os 0.0000 0.5000 0.0000
Fe1 Fe 0.0000 0.0000 0.5000
Fe2 Fe 0.5000 0.0000 0.0000
Li1 Li 0.5000 0.5000 0.5000
```



An optimized crystal structure of LiFeOsRu, computed with PBE.

Results
* E: -30.0 eV per cell
* spin magnetization: 0.616 μB per atom
* ΔH_f (0 K): 0.2179 eV/atom

Cell and atoms, written as CIF:
```
data_LiFeOsRu
_chemical_formula_sum 'Li1 Fe1 Os1 Ru1'
_cell_length_a 4.1950
_cell_length_b 4.1950
_cell_length_c 4.1950
_cell_angle_alpha 60.00
_cell_angle_beta 60.00
_cell_angle_gamma 60.00
_space_group_name_H-M_alt 'P 1'
_space_group_IT_number 1
loop_
_space_group_symop_operation_xyz
'x,y,z'
loop_
_atom_site_label
_atom_site_type_symbol
_atom_site_fract_x
_atom_site_fract_y
_atom_site_fract_z
Ru1 Ru 0.0000 0.0000 0.0000
Os1 Os 0.7500 0.7500 0.7500
Fe1 Fe 0.5000 0.5000 0.5000
Li1 Li 0.2500 0.2500 0.2500
```